No. 1
# PBE-GGA RbPaAs2Pt2, relaxed
# crystal system: trigonal
# energy of formation: -0.84 eV/atom
data_RbPaAs2Pt2
_space_group_name_H-M_alt 'P -3 m 1'
_space_group_IT_number 164
_space_group_name_Hall '-P 3 2"'
_cell_length_a 4.2903
_cell_length_b 4.2903
_cell_length_c 9.3757
_cell_angle_alpha 90.00
_cell_angle_beta 90.00
_cell_angle_gamma 120.00
loop_
_atom_site_label
_atom_site_type_symbol
_atom_site_fract_x
_atom_site_fract_y
_atom_site_fract_z
_atom_site_occupancy
Rb1 Rb 0.0000 0.0000 0.0000 1
Pa1 Pa 0.0000 0.0000 0.5000 1
As1 As 0.3333 0.6667 0.7251 1
Pt1 Pt 0.3333 0.6667 0.3274 1

***

No. 2
# PBE-GGA V5Mo, relaxed
# crystal system: orthorhombic
# energy of formation: -0.05 eV/atom
data_V5Mo
_space_group_name_H-M_alt 'C m m m'
_space_group_IT_number 65
_space_group_name_Hall '-C 2 2'
_cell_length_a 4.276
_cell_length_b 12.858
_cell_length_c 3.025
_cell_angle_alpha 90.00
_cell_angle_beta 90.00
_cell_angle_gamma 90.00
loop_
_atom_site_label
_atom_site_type_symbol
_atom_site_fract_x
_atom_site_fract_y
_atom_site_fract_z
_atom_site_occupancy
V1 V 0.000 0.000 0.000 1
V2 V 0.000 0.171 0.500 1
V3 V 0.000 0.332 0.000 1
Mo1 Mo 0.000 0.500 0.500 1

***

Repeat the second record exactly.
# PBE-GGA V5Mo, relaxed
# crystal system: orthorhombic
# energy of formation: -0.05 eV/atom
data_V5Mo
_space_group_name_H-M_alt 'C m m m'
_space_group_IT_number 65
_space_group_name_Hall '-C 2 2'
_cell_length_a 4.276
_cell_length_b 12.858
_cell_length_c 3.025
_cell_angle_alpha 90.00
_cell_angle_beta 90.00
_cell_angle_gamma 90.00
loop_
_atom_site_label
_atom_site_type_symbol
_atom_site_fract_x
_atom_site_fract_y
_atom_site_fract_z
_atom_site_occupancy
V1 V 0.000 0.000 0.000 1
V2 V 0.000 0.171 0.500 1
V3 V 0.000 0.332 0.000 1
Mo1 Mo 0.000 0.500 0.500 1

***

Question: Which value of energy of formation does entry 1 give?
Answer: -0.84 eV/atom

***

Question: Which formula does entry 2 have?
Answer: V5Mo